# NdDy6Tm3 (PBE, optimized geometry)
data_NdDy6Tm3
_chemical_formula_sum 'Nd2 Dy12 Tm6'
_cell_length_a 10.9134
_cell_length_b 10.9134
_cell_length_c 6.1714
_cell_angle_alpha 90.00
_cell_angle_beta 90.00
_cell_angle_gamma 119.75
_symmetry_space_group_name_H-M 'P 1'
_symmetry_Int_Tables_number 1
loop_
_symmetry_equiv_pos_as_xyz
'x,y,z'
loop_
_atom_site_label
_atom_site_type_symbol
_atom_site_fract_x
_atom_site_fract_y
_atom_site_fract_z
Nd1 Nd 0.2071 0.7929 0.5000
Nd2 Nd 0.7929 0.2071 0.0000
Dy1 Dy 0.0387 0.4583 0.2930
Dy2 Dy 0.0470 0.9530 0.7430
Dy3 Dy 0.2860 0.7140 0.0135
Dy4 Dy 0.2897 0.3806 0.1255
Dy5 Dy 0.3806 0.2897 0.6255
Dy6 Dy 0.4583 0.0387 0.7930
Dy7 Dy 0.5417 0.9613 0.2930
Dy8 Dy 0.6194 0.7103 0.1255
Dy9 Dy 0.7103 0.6194 0.6255
Dy10 Dy 0.7140 0.2860 0.5135
Dy11 Dy 0.9530 0.0470 0.2430
Dy12 Dy 0.9613 0.5417 0.7930
Tm1 Tm 0.0652 0.2826 0.7008
Tm2 Tm 0.2826 0.0652 0.2008
Tm3 Tm 0.3894 0.6106 0.5805
Tm4 Tm 0.6106 0.3894 0.0805
Tm5 Tm 0.7174 0.9348 0.7008
Tm6 Tm 0.9348 0.7174 0.2008
# Space-group type ... No. 36
# Final energy ... -4.428 eV per atom
# ρ ... 8.5 g cm⁻³
# Formation energy from the elements ... 1.52 eV/f.u.
# Excess energy over the best structure of this formula in the dataset ... 0.264 eV/f.u.